Material: SrNbGe2
Method: DFT, PBE-GGA
State: relaxed

energy relative to the elements	0.0562	eV per atom
size of the total moment	0.00	μB per formula unit
final energy	-5.1904	eV/atom

CIF file:
```
data_SrNbGe2
_chemical_formula_sum 'Sr4 Nb4 Ge8'
_cell_length_a 5.332
_cell_length_b 5.332
_cell_length_c 17.043
_cell_angle_alpha 90.00
_cell_angle_beta 90.00
_cell_angle_gamma 90.00
_space_group_name_H-M_alt 'I -4 2 d'
_space_group_IT_number 122
_space_group_name_Hall 'I -4 2bw'
loop_
_atom_site_label
_atom_site_fract_x
_atom_site_fract_y
_atom_site_fract_z
_atom_site_occupancy
Sr1 0.000 0.000 0.000 1
Nb1 0.000 0.000 0.500 1
Ge1 0.046 0.250 0.625 1
```